This record from the Alexandria database describes BeAl2PbCl after structural relaxation. The functional is GGA-PBE.

POSCAR file:
```
BeAl2PbCl
1.0
-3.340 -4.052 1.117
2.315 -1.012 3.251
-2.925 3.266 3.098
Pb Al Be Cl
1 2 1 1
direct
0.500 0.500 0.500
0.500 0.000 0.000
0.000 0.000 0.500
0.000 0.500 0.000
0.000 0.000 0.000
```

## Properties
Total moment, μB per cell: 0.00
Energy, eV per atom: -2.69
Formation energy without anion corrections, eV/f.u.: 3.33


This record from the Alexandria database describes Be2AlRhCl after structural relaxation. The functional is GGA-PBE.

POSCAR file:
```
Be2AlRhCl
1.0
-2.812 1.431 2.209
-3.310 -2.234 -2.766
0.201 -3.107 2.268
Al Be Rh Cl
1 2 1 1
direct
0.000 0.500 0.000
0.000 0.000 0.500
0.500 0.000 0.000
0.500 0.500 0.500
0.000 0.000 0.000
```

## Properties
Total moment, μB per cell: 0.00
Energy, eV per atom: -3.27
Formation energy without anion corrections, eV/f.u.: 4.03


This record from the Alexandria database describes BeAlZnCl2 after structural relaxation. The functional is GGA-PBE.

POSCAR file:
```
BeAlZnCl2
1.0
4.245 0.000 0.000
0.000 5.981 0.000
0.000 0.000 4.245
Cl Be Zn Al
2 1 1 1
direct
0.500 0.000 0.000
0.000 0.000 0.500
0.000 0.000 0.000
0.000 0.500 0.000
0.500 0.500 0.500
```

## Properties
Total moment, μB per cell: 0.00
Energy, eV per atom: -2.54
Formation energy without anion corrections, eV/f.u.: -0.24


This record from the Alexandria database describes Be2AlCo after structural relaxation. The functional is GGA-PBE.

POSCAR file:
```
Be2AlCo
1.0
-3.458 -0.663 0.409
-0.190 -0.549 -2.500
0.824 -4.524 -0.366
Be Co Al
2 1 1
direct
0.500 0.057 0.259
0.000 0.178 0.017
0.000 0.461 0.457
0.500 0.803 0.767
```

## Properties
Total moment, μB per cell: 0.00
DFT formation energy, eV per atom: -0.16
Energy, eV per atom: -4.74


This record from the Alexandria database describes BeAl5Co6 after structural relaxation. The functional is GGA-PBE.

POSCAR file:
```
BeAl5Co6
1.0
3.831 -0.003 -1.074
-2.870 5.570 -2.883
-0.147 -0.804 6.848
Co Al Be
6 5 1
direct
0.245 0.082 0.409
0.755 0.591 0.918
0.259 0.759 0.759
0.755 0.918 0.591
0.245 0.409 0.082
0.741 0.241 0.241
0.500 0.833 0.167
0.000 0.666 0.334
0.500 0.500 0.500
0.000 0.334 0.666
0.500 0.167 0.833
0.000 0.000 0.000
```

## Properties
Total moment, μB per cell: 0.00
DFT formation energy, eV per atom: -0.55
Energy, eV per atom: -5.97


This record from the Alexandria database describes BeAl2Co after structural relaxation. The functional is GGA-PBE.

POSCAR file:
```
BeAl2Co
1.0
-6.008 -5.206 -0.544
-5.790 -5.029 2.164
-7.259 -3.191 0.793
Al Co Be
2 1 1
direct
0.002 0.002 0.002
0.498 0.498 0.498
0.750 0.750 0.750
0.250 0.250 0.250
```

## Properties
Total moment, μB per cell: 0.00
DFT formation energy, eV per atom: -0.02
Energy, eV per atom: -4.59


This record from the Alexandria database describes BeAl2Co after structural relaxation. The functional is GGA-PBE.

POSCAR file:
```
BeAl2Co
1.0
-2.399 2.794 -0.903
-0.351 -1.115 -2.519
-3.681 -3.052 0.337
Be Al Co
1 2 1
direct
0.000 0.688 0.500
0.500 0.286 0.301
0.000 0.964 0.947
0.500 0.562 0.751
```

## Properties
Total moment, μB per cell: 0.00
DFT formation energy, eV per atom: -0.26
Energy, eV per atom: -4.84


This record from the Alexandria database describes BeAlCo3 after structural relaxation. The functional is GGA-PBE.

POSCAR file:
```
BeAlCo3
1.0
-2.388 2.888 -0.842
-2.915 -2.487 -0.263
-0.743 0.476 3.738
Co Al Be
3 1 1
direct
0.500 0.000 0.000
0.000 0.000 0.500
0.000 0.500 0.000
0.500 0.500 0.500
0.000 0.000 0.000
```

## Properties
Total moment, μB per cell: 2.02
DFT formation energy, eV per atom: 0.17
Energy above the lowest structure with this stoichiometry, meV/atom: 0
Energy, eV per atom: -5.58